# TcSN2O (PBE-GGA, optimized geometry)
# DFT total energy (eV per atom): -5.8170
# N(E_F) (states/eV per atom): 0.56
# M_tot (μB per atom): 0.619
# Volume (Å³/cell): 49
# Formation energy from raw total energies (eV/atom): 1.40
data_TcSN2O
_chemical_formula_sum 'Tc1 S1 N2 O1'
_symmetry_space_group_name_H-M 'P 4/m m m'
_symmetry_Int_Tables_number 123
_symmetry_space_group_name_Hall '-P 4 2'
_cell_length_a 3.7593
_cell_length_b 3.7593
_cell_length_c 3.4493
_cell_angle_alpha 90.00
_cell_angle_beta 90.00
_cell_angle_gamma 90.00
loop_
_atom_site_label
_atom_site_type_symbol
_atom_site_fract_x
_atom_site_fract_y
_atom_site_fract_z
_atom_site_occupancy
Tc1 Tc 0.0000 0.0000 0.0000 1
S1 S 0.5000 0.5000 0.5000 1
N1 N 0.0000 0.5000 0.5000 1
O1 O 0.5000 0.5000 0.0000 1